VASP calculation (PBE-GGA) on a relaxed PmGdBeSi crystal.

The mass density comes out at 6.5 g/cm³. The calculation puts the formation energy from raw total energies at -0.81 eV per formula unit. The value obtained for the magnetization is 28.12 μB per cell. The calculation puts the density of states at the Fermi level at 5.6 states/eV/cell.

a b c (Å): 7.025 7.025 7.025
angles (deg): 90.00 90.00 90.00
Space group F-43m (No. 216)
Inequivalent atoms, fractional coordinates:
Pm 0.000 0.000 0.000 [4 per cell]
Gd 0.000 0.000 0.500 [4 per cell]
Be 0.250 0.250 0.750 [4 per cell]
Si 0.250 0.250 0.250 [4 per cell]